# 1
Below is a geometry-optimized Sn8TeOs2 structure, with properties calculated at the GGA-PBE level.

Values from the calculation:
Space group: P4_2/mnm, No. 136

a = 10.357 Å, b = 10.357 Å, c = 10.194 Å
α = 90.00°, β = 90.00°, γ = 90.00°
Fractional coordinates of all 44 atoms:
Sn (0.000, 0.000, 0.153)
Sn (0.000, 0.000, 0.847)
Sn (0.058, 0.293, 0.300)
Sn (0.058, 0.293, 0.700)
Sn (0.093, 0.907, 0.500)
Sn (0.205, 0.205, 0.000)
Sn (0.206, 0.794, 0.000)
Sn (0.207, 0.558, 0.200)
Sn (0.207, 0.558, 0.800)
Sn (0.293, 0.058, 0.300)
Sn (0.293, 0.058, 0.700)
Sn (0.294, 0.294, 0.500)
Sn (0.295, 0.705, 0.500)
Sn (0.407, 0.407, 0.000)
Sn (0.442, 0.793, 0.200)
Sn (0.442, 0.793, 0.800)
Sn (0.500, 0.500, 0.347)
Sn (0.500, 0.500, 0.653)
Sn (0.558, 0.207, 0.200)
Sn (0.558, 0.207, 0.800)
Sn (0.593, 0.593, 0.000)
Sn (0.705, 0.295, 0.500)
Sn (0.706, 0.706, 0.500)
Sn (0.707, 0.942, 0.300)
Sn (0.707, 0.942, 0.700)
Sn (0.793, 0.442, 0.200)
Sn (0.793, 0.442, 0.800)
Sn (0.794, 0.206, 0.000)
Sn (0.795, 0.795, 0.000)
Sn (0.907, 0.093, 0.500)
Sn (0.942, 0.707, 0.300)
Sn (0.942, 0.707, 0.700)
Te (0.000, 0.500, 0.000)
Te (0.000, 0.500, 0.500)
Te (0.500, 0.000, 0.000)
Te (0.500, 0.000, 0.500)
Os (0.177, 0.823, 0.260)
Os (0.177, 0.823, 0.740)
Os (0.323, 0.323, 0.240)
Os (0.323, 0.323, 0.760)
Os (0.677, 0.677, 0.240)
Os (0.677, 0.677, 0.760)
Os (0.823, 0.177, 0.260)
Os (0.823, 0.177, 0.740)

***

# 2
Below is a geometry-optimized Sn10Te10Os structure, with properties calculated at the GGA-PBE level.

Values from the calculation:
Space group: Pbam, No. 55
Energy above the most stable polymorph in this dataset: 0.0000 eV/atom

a = 12.037 Å, b = 12.400 Å, c = 8.976 Å
α = 90.00°, β = 90.00°, γ = 90.00°
Fractional coordinates of all 42 atoms:
Sn (0.000, 0.000, 0.235)
Sn (0.000, 0.000, 0.765)
Sn (0.124, 0.327, 0.500)
Sn (0.130, 0.578, 0.281)
Sn (0.130, 0.578, 0.719)
Sn (0.236, 0.312, 0.000)
Sn (0.264, 0.812, 0.000)
Sn (0.370, 0.078, 0.281)
Sn (0.370, 0.078, 0.719)
Sn (0.376, 0.827, 0.500)
Sn (0.500, 0.500, 0.235)
Sn (0.500, 0.500, 0.765)
Sn (0.624, 0.173, 0.500)
Sn (0.630, 0.922, 0.281)
Sn (0.630, 0.922, 0.719)
Sn (0.736, 0.188, 0.000)
Sn (0.764, 0.688, 0.000)
Sn (0.870, 0.422, 0.281)
Sn (0.870, 0.422, 0.719)
Sn (0.876, 0.673, 0.500)
Te (0.003, 0.667, 0.000)
Te (0.138, 0.095, 0.500)
Te (0.176, 0.817, 0.308)
Te (0.176, 0.817, 0.692)
Te (0.194, 0.055, 0.000)
Te (0.306, 0.555, 0.000)
Te (0.324, 0.317, 0.308)
Te (0.324, 0.317, 0.692)
Te (0.362, 0.595, 0.500)
Te (0.497, 0.167, 0.000)
Te (0.503, 0.833, 0.000)
Te (0.638, 0.405, 0.500)
Te (0.676, 0.683, 0.308)
Te (0.676, 0.683, 0.692)
Te (0.694, 0.445, 0.000)
Te (0.806, 0.945, 0.000)
Te (0.824, 0.183, 0.308)
Te (0.824, 0.183, 0.692)
Te (0.862, 0.905, 0.500)
Te (0.997, 0.333, 0.000)
Os (0.000, 0.500, 0.500)
Os (0.500, 0.000, 0.500)

***

Energy
In order: -5.07; -4.02
Unit: eV/atom